A relaxed structure of Nd3Cd7Pt4, computed with PBE.

Geometry as POSCAR:
```
Nd3Cd7Pt4
1.0
8.189 -2.184 0.000
8.189 2.184 0.000
-5.978 0.000 8.852
Nd Cd Pt
3 7 4
direct
0.000 0.000 0.000 Nd
0.299 0.299 0.282 Nd
0.701 0.701 0.718 Nd
0.000 0.000 0.500 Cd
0.168 0.168 0.437 Cd
0.326 0.326 0.992 Cd
0.483 0.483 0.684 Cd
0.517 0.517 0.316 Cd
0.674 0.674 0.008 Cd
0.832 0.832 0.563 Cd
0.113 0.113 0.816 Pt
0.343 0.343 0.752 Pt
0.657 0.657 0.248 Pt
0.887 0.887 0.184 Pt
```

**DOS at the Fermi energy**: 8.1 states/eV/f.u.
**Raw total energy**: -3.79 eV per atom
**Spin magnetization**: 0.0 μB per formula unit
**Energy relative to the elements**: -0.587 eV/atom
**Crystal system**: monoclinic